# Dy12Sn6Os

A geometry-optimized Dy12Sn6Os structure (PBE, the Alexandria database).

Unit cell a=8.6227 b=8.6227 c=8.6227 alpha=99.47 beta=99.47 gamma=99.47
Fractional coordinates of all 19 atoms:
Dy  0.8050  0.5744  0.4407
Dy  0.4407  0.8050  0.5744
Dy  0.5744  0.4407  0.8050
Dy  0.1950  0.4256  0.5593
Dy  0.5593  0.1950  0.4256
Dy  0.4256  0.5593  0.1950
Dy  0.0570  0.9805  0.3135
Dy  0.0195  0.6865  0.9430
Dy  0.6865  0.9430  0.0195
Dy  0.9430  0.0195  0.6865
Dy  0.9805  0.3135  0.0570
Dy  0.3135  0.0570  0.9805
Sn  0.6901  0.8769  0.3627
Sn  0.6373  0.3099  0.1231
Sn  0.1231  0.6373  0.3099
Sn  0.3099  0.1231  0.6373
Sn  0.3627  0.6901  0.8769
Sn  0.8769  0.3627  0.6901
Os  0.0000  0.0000  0.0000

Summary:
- ΔH_f (0 K): -0.381 eV/atom
- D(E_F): 0.859 states/eV/atom
- Crystal system: trigonal